Sr2Tl7Cd2In: optimized geometry, PBE-GGA.

a b c (Å): 4.7946 4.7946 17.1913
angles (deg): 78.02 78.02 88.69
Last column: nearest neighbours and their distance in Å.
Sites, in units of the cell vectors:
Tl 0.5000 0.5000 0.0000  4 In 3.35-3.43, 8 Tl 3.50
Tl 0.2364 0.2364 0.4613  1 Cd 3.02, 1 Tl 3.13
Tl 0.7636 0.7636 0.5387  1 Cd 3.02, 1 Tl 3.13
Tl 0.3863 0.8868 0.1548  2 Cd 3.16-3.18, 6 Tl 3.35-3.50, 2 In 3.49-3.50
Tl 0.8868 0.3863 0.1548  2 Cd 3.16-3.18, 6 Tl 3.35-3.50, 2 In 3.49-3.50
Tl 0.1132 0.6137 0.8452  2 Cd 3.16-3.18, 6 Tl 3.35-3.50, 2 In 3.49-3.50
Tl 0.6137 0.1132 0.8452  2 Cd 3.16-3.18, 6 Tl 3.35-3.50, 2 In 3.49-3.50
Cd 0.7083 0.7083 0.7192  5 Tl 3.02-3.18
Cd 0.2917 0.2917 0.2808  5 Tl 3.02-3.18
Sr 0.2490 0.2490 0.6593  2 Tl 3.43-3.54, 4 Cd 3.49-3.59
Sr 0.7510 0.7510 0.3407  2 Tl 3.43-3.54, 4 Cd 3.49-3.59
In 0.0000 0.0000 0.0000  12 Tl 3.35-3.50

Values from the calculation:
As for the formation energy: -0.1104 eV per atom.

---

RbGaS4: optimized geometry, PBE-GGA.

a b c (Å): 8.1154 7.7290 14.4528
angles (deg): 96.42 151.94 96.91
Last column: nearest neighbours and their distance in Å.
Sites, in units of the cell vectors:
S 0.0128 0.6521 0.2762  2 Ga 2.30
S 0.5467 0.6246 0.8039  1 S 2.10, 1 Ga 2.31
S 0.8454 0.1810 0.8937  2 S 2.05-2.10
S 0.6744 0.1852 0.9432  1 S 2.05
S 0.1546 0.8190 0.1063  2 S 2.05-2.10
S 0.3256 0.8148 0.0568  1 S 2.05
S 0.4533 0.3754 0.1961  1 S 2.10, 1 Ga 2.31
S 0.9872 0.3479 0.7238  2 Ga 2.30
Ga 0.5639 0.4550 0.9324  4 S 2.30-2.34
Ga 0.4361 0.5450 0.0676  4 S 2.30-2.34
Rb 0.1396 0.2484 0.4094  7 S 3.37-3.72
Rb 0.8604 0.7516 0.5906  7 S 3.37-3.72

Values from the calculation:
As for the uncorrected formation energy: -373 kJ/mol of formula units.

---

Ac5Pr2Ho: optimized geometry, PBE-GGA.

a b c (Å): 3.9695 10.1409 16.6647
angles (deg): 90.00 90.00 90.00
Last column: nearest neighbours and their distance in Å.
Sites, in units of the cell vectors:
Ac 0.0000 0.6580 0.0000  2 Ho 3.57, 8 Ac 3.66-3.97
Ac 0.5000 0.1532 0.7005  3 Pr 3.80-3.81, 8 Ac 3.85-4.23, 2 Ho 4.03
Ac 0.0000 0.5128 0.6526  6 Ac 3.66-3.97, 2 Pr 3.71
Ac 0.5000 0.3420 0.5000  2 Ho 3.57, 8 Ac 3.66-3.97
Ac 0.0000 0.8468 0.7995  3 Pr 3.80-3.81, 8 Ac 3.85-4.23, 2 Ho 4.03
Ac 0.5000 0.4872 0.1526  6 Ac 3.66-3.97, 2 Pr 3.71
Ac 0.5000 0.4872 0.8474  6 Ac 3.66-3.97, 2 Pr 3.71
Ac 0.0000 0.8468 0.2005  3 Pr 3.80-3.81, 8 Ac 3.85-4.23, 2 Ho 4.03
Ac 0.0000 0.5128 0.3474  6 Ac 3.66-3.97, 2 Pr 3.71
Ac 0.5000 0.1532 0.2995  3 Pr 3.80-3.81, 8 Ac 3.85-4.23, 2 Ho 4.03
Pr 0.0000 0.1876 0.8943  1 Pr 3.52, 2 Ho 3.58, 5 Ac 3.71-3.81
Pr 0.5000 0.8124 0.3943  1 Pr 3.52, 2 Ho 3.58, 5 Ac 3.71-3.81
Pr 0.5000 0.8124 0.6057  1 Pr 3.52, 2 Ho 3.58, 5 Ac 3.71-3.81
Pr 0.0000 0.1876 0.1057  1 Pr 3.52, 2 Ho 3.58, 5 Ac 3.71-3.81
Ho 0.5000 0.9511 0.0000  2 Ac 3.57, 4 Pr 3.58, 2 Ho 3.97
Ho 0.0000 0.0489 0.5000  2 Ac 3.57, 4 Pr 3.58, 2 Ho 3.97

Values from the calculation:
As for the formation energy: 0.1493 eV per atom.

---

La4H2I5: optimized geometry, PBE-GGA.

a b c (Å): 4.2404 9.3449 9.8211
angles (deg): 102.55 102.47 90.00
Last column: nearest neighbours and their distance in Å.
Sites, in units of the cell vectors:
La 0.0025 0.7184 0.0050  2 H 2.32
La 0.9975 0.2816 0.9950  2 H 2.32
La 0.6426 0.5803 0.2852  1 H 2.32
La 0.3574 0.4197 0.7148  1 H 2.32
I 0.8263 0.6705 0.6527  4 La 3.31-3.44
I 0.8281 0.1500 0.6563  3 La 3.21-3.24, 2 H 3.55
I 0.1737 0.3295 0.3473  4 La 3.31-3.44
I 0.1719 0.8500 0.3437  3 La 3.21-3.24, 2 H 3.55
I 0.5000 0.0000 0.0000  4 La 3.39, 2 H 3.44
H 0.5350 0.6546 0.0700  3 La 2.32
H 0.4650 0.3454 0.9300  3 La 2.32

Values from the calculation:
The calculated total energy is -4.20 eV per atom.

---

LiAgGeSb: optimized geometry, PBE-GGA.

a b c (Å): 4.8489 4.8489 4.8489
angles (deg): 60.00 60.00 60.00
Last column: nearest neighbours and their distance in Å.
Sites, in units of the cell vectors:
Ag 0.5000 0.5000 0.5000  4 Ge 2.97, 4 Sb 2.97
Li 0.0000 0.0000 0.0000  4 Sb 2.97, 4 Ge 2.97
Ge 0.2500 0.2500 0.2500  4 Li 2.97, 4 Ag 2.97
Sb 0.7500 0.7500 0.7500  4 Ag 2.97, 4 Li 2.97

Values from the calculation:
As for the uncorrected formation energy: -16 kJ/mol of formula units.

---

Cs3KRb: optimized geometry, PBE-GGA.

a b c (Å): 8.6285 8.6285 8.6285
angles (deg): 90.00 90.00 90.00
Last column: nearest neighbours and their distance in Å.
Sites, in units of the cell vectors:
Cs 0.5000 0.0000 0.0000  2 Rb 4.31
Cs 0.0000 0.5000 0.0000  2 Rb 4.31
Cs 0.0000 0.0000 0.5000  2 Rb 4.31
Rb 0.0000 0.0000 0.0000  6 Cs 4.31
K 0.5000 0.5000 0.5000  none within 6

Values from the calculation:
As for the formation energy: 0.1754 eV per atom.

---

Repeat the sixth record exactly.
Cs3KRb: optimized geometry, PBE-GGA.

a b c (Å): 8.6285 8.6285 8.6285
angles (deg): 90.00 90.00 90.00
Last column: nearest neighbours and their distance in Å.
Sites, in units of the cell vectors:
Cs 0.5000 0.0000 0.0000  2 Rb 4.31
Cs 0.0000 0.5000 0.0000  2 Rb 4.31
Cs 0.0000 0.0000 0.5000  2 Rb 4.31
Rb 0.0000 0.0000 0.0000  6 Cs 4.31
K 0.5000 0.5000 0.5000  none within 6

Values from the calculation:
As for the formation energy: 0.1754 eV per atom.